18
Lattice="-4.7380 2.6411 1.3235 -3.7770 -0.8819 -4.0556 -4.8176 -5.1193 2.3991" Properties=species:S:1:pos:R:3 comment="V6O7F5 (PBE with a Hubbard U, optimized geometry)" vol_a3_per_atom=11.3 total_energy_ev_per_cell=-130.6 e_above_lowest_polymorph_mev_per_atom=19 rho_g_cm3=4.2 pbc="T T T"
O -5.3886 -1.1089 -0.2846
O -7.5704 0.5958 0.6672
O -4.5022 1.5393 -0.3431
O -6.7118 -4.5545 1.6923
O -8.8833 -4.9391 -0.0539
O -5.8154 -3.9048 -0.9573
O -6.2744 -1.8025 2.3040
F -7.8577 -2.1687 0.0052
F -9.0387 0.0077 -1.6872
F -4.2151 -3.4854 1.3642
F -6.7652 1.1732 -2.0644
F -6.9939 -1.5705 -2.5818
V -0.1679 -0.0368 -0.0596
V -10.8636 -0.8905 -1.5259
V -7.1132 -0.4489 -0.8524
V -3.6651 -0.1987 -0.6480
V -9.7238 -3.0602 0.1530
V -6.0347 -2.8278 0.6760